The following is a GGA-PBE calculation of crystalline InCoCl3 at its relaxed geometry, from the Open Quantum Materials Database.

Computed properties:
Size of the total moment, μB/cell: 6.00
Uncorrected energy, eV per atom: -3.748

```
data_InCoCl3
_chemical_formula_sum 'In2 Co2 Cl6'
_symmetry_space_group_name_H-M 'P 1'
_symmetry_Int_Tables_number 1
_cell_length_a 6.235
_cell_length_b 6.485
_cell_length_c 8.054
_cell_angle_alpha 69.63
_cell_angle_beta 88.71
_cell_angle_gamma 83.67
loop_
_symmetry_equiv_pos_as_xyz
'x,y,z'
loop_
_atom_site_label
_atom_site_fract_x
_atom_site_fract_y
_atom_site_fract_z
_atom_site_occupancy
In1 0.000 0.000 0.000 1
In2 0.490 0.236 0.495 1
Co1 0.457 0.516 0.893 1
Co2 0.951 0.645 0.602 1
Cl1 0.292 0.728 0.631 1
Cl2 0.310 0.568 0.131 1
Cl3 0.479 0.162 0.915 1
Cl4 0.792 0.908 0.367 1
Cl5 0.797 0.626 0.865 1
Cl6 0.967 0.313 0.575 1
```